No. 1
VASP calculation (PBE) on BeBiTe2I after structural relaxation.

POSCAR file:
```
BeBiTe2I
1.0
-2.3482 -2.5527 -3.8117
4.5873 -1.3494 -1.9223
-0.0458 -4.2618 2.8824
I Be Te Bi
1 1 2 1
Direct
0.0000 0.0000 0.5000 I
0.0000 0.0000 0.0000 Be
0.0000 0.5000 0.0000 Te
0.5000 0.0000 0.0000 Te
0.5000 0.5000 0.5000 Bi
```

Summary:
D(E_F): 0.692 states/eV/atom
Space group: No. 123

***

No. 2
VASP calculation (PBE) on Sn2Hg2Pt after structural relaxation.

POSCAR file:
```
Sn2Hg2Pt
1.0
7.0090 0.0000 0.0000
0.0000 7.0090 0.0000
0.0000 0.0000 5.1298
Hg Pt Sn
4 2 4
Direct
0.1785 0.6785 0.5000 Hg
0.6785 0.8215 0.5000 Hg
0.8215 0.3215 0.5000 Hg
0.3215 0.1785 0.5000 Hg
0.0000 0.0000 0.0000 Pt
0.5000 0.5000 0.0000 Pt
0.3477 0.8477 0.0000 Sn
0.8477 0.6523 0.0000 Sn
0.6523 0.1523 0.0000 Sn
0.1523 0.3477 0.0000 Sn
```

Summary:
D(E_F): 0.407 states/eV/atom
Formation energy from the elements: -0.04 eV per atom
Space group: No. 127

***

No. 3
VASP calculation (PBE) on Si23Rh4 after structural relaxation.

POSCAR file:
```
Si23Rh4
1.0
-9.3543 -1.5593 -3.2838
0.4851 -9.5201 3.1387
-3.6027 2.7668 8.9490
Rh Si
8 46
Direct
0.0000 0.0000 0.0000 Rh
0.5000 0.5000 0.5000 Rh
0.2500 0.5000 0.0000 Rh
0.7500 0.5000 0.0000 Rh
0.5000 0.0000 0.2500 Rh
0.5000 0.0000 0.7500 Rh
0.0000 0.2500 0.5000 Rh
0.0000 0.7500 0.5000 Rh
0.2500 0.0000 0.5000 Si
0.7500 0.0000 0.5000 Si
0.0000 0.5000 0.2500 Si
0.0000 0.5000 0.7500 Si
0.5000 0.2500 0.0000 Si
0.5000 0.7500 0.0000 Si
0.6817 0.6817 0.6817 Si
0.6817 0.3183 0.3183 Si
0.3183 0.6817 0.3183 Si
0.3183 0.3183 0.6817 Si
0.8183 0.8183 0.8183 Si
0.8183 0.1817 0.1817 Si
0.1817 0.8183 0.1817 Si
0.1817 0.1817 0.8183 Si
0.3183 0.3183 0.3183 Si
0.3183 0.6817 0.6817 Si
0.6817 0.3183 0.6817 Si
0.6817 0.6817 0.3183 Si
0.1817 0.1817 0.1817 Si
0.1817 0.8183 0.8183 Si
0.8183 0.1817 0.8183 Si
0.8183 0.8183 0.1817 Si
0.0000 0.6874 0.8849 Si
0.0000 0.3126 0.1151 Si
0.0000 0.6874 0.1151 Si
0.0000 0.3126 0.8849 Si
0.6874 0.8849 0.0000 Si
0.6874 0.1151 0.0000 Si
0.3126 0.8849 0.0000 Si
0.3126 0.1151 0.0000 Si
0.8849 0.0000 0.6874 Si
0.8849 0.0000 0.3126 Si
0.1151 0.0000 0.3126 Si
0.1151 0.0000 0.6874 Si
0.8126 0.5000 0.6151 Si
0.8126 0.5000 0.3849 Si
0.1874 0.5000 0.3849 Si
0.1874 0.5000 0.6151 Si
0.5000 0.6151 0.8126 Si
0.5000 0.3849 0.1874 Si
0.5000 0.6151 0.1874 Si
0.5000 0.3849 0.8126 Si
0.6151 0.8126 0.5000 Si
0.6151 0.1874 0.5000 Si
0.3849 0.8126 0.5000 Si
0.3849 0.1874 0.5000 Si
```

Summary:
D(E_F): 1.055 states/eV/atom
Space group: No. 223

***

No. 4
VASP calculation (PBE) on Pr2Y2Zn after structural relaxation.

POSCAR file:
```
Pr2Y2Zn
1.0
3.5752 0.0000 -0.5736
-0.0920 3.5740 -0.5736
0.0584 0.0599 11.7920
Pr Y Zn
2 2 1
Direct
0.8083 0.8083 0.6167 Pr
0.1917 0.1917 0.3833 Pr
0.5759 0.5759 0.1517 Y
0.4241 0.4241 0.8483 Y
0.0000 0.0000 0.0000 Zn
```

Summary:
D(E_F): 1.262 states/eV/atom
Formation energy from the elements: -0.13 eV per atom
Space group: No. 139

***

No. 5
VASP calculation (PBE) on YTa2Cu after structural relaxation.

POSCAR file:
```
YTa2Cu
1.0
-0.7311 4.2677 -3.4443
-2.6861 -0.9555 -4.7415
-0.7760 -1.0451 5.3773
Cu Ta Y
1 2 1
Direct
0.7500 0.2500 0.5000 Cu
0.0000 0.0000 0.0000 Ta
0.5000 0.5000 0.0000 Ta
0.2500 0.7500 0.5000 Y
```

Summary:
D(E_F): 0.920 states/eV/atom
Formation energy from the elements: 0.36 eV per atom
Space group: No. 139

***

No. 6
VASP calculation (PBE) on Na3Mg5 after structural relaxation.

POSCAR file:
```
Na3Mg5
1.0
8.9349 -0.0013 -0.0037
-6.9934 5.5609 -0.0038
-0.9211 -2.6380 9.0337
Na Mg
6 10
Direct
0.1882 0.3135 0.5013 Na
0.2553 0.2441 0.9990 Na
0.3123 0.8123 0.1135 Na
0.6889 0.1889 0.8885 Na
0.7442 0.7553 0.9990 Na
0.8135 0.6882 0.5013 Na
0.0503 0.7332 0.7947 Mg
0.2632 0.0634 0.3196 Mg
0.2507 0.7507 0.5004 Mg
0.2334 0.5503 0.7948 Mg
0.4379 0.2365 0.6804 Mg
0.5634 0.7632 0.3196 Mg
0.7676 0.4518 0.2074 Mg
0.7496 0.2496 0.4996 Mg
0.7365 0.9379 0.6804 Mg
0.9518 0.2675 0.2073 Mg
```

Summary:
D(E_F): 0.392 states/eV/atom
Formation energy from the elements: 0.16 eV per atom
Space group: No. 8

***

No. 7
VASP calculation (PBE) on Y2MgCd6 after structural relaxation.

POSCAR file:
```
Y2MgCd6
1.0
6.5134 -0.0368 -0.0213
0.0214 6.1980 0.0032
0.0214 3.0907 5.3724
Y Mg Cd
2 1 6
Direct
0.8702 0.6666 0.6666 Y
0.1298 0.3334 0.3334 Y
0.0000 0.0000 0.0000 Mg
0.3270 0.3509 0.8249 Cd
0.3257 0.8249 0.8249 Cd
0.3270 0.8249 0.3509 Cd
0.6730 0.6491 0.1751 Cd
0.6743 0.1751 0.1751 Cd
0.6730 0.1751 0.6491 Cd
```

Summary:
D(E_F): 0.675 states/eV/atom
Formation energy from the elements: -0.22 eV per atom
Space group: No. 12

***

No. 8
VASP calculation (PBE) on Pm3As2H after structural relaxation.

POSCAR file:
```
Pm3As2H
1.0
-1.0137 -5.6875 1.0059
7.1398 -1.9519 -3.8413
1.6886 3.7397 5.7538
Pm As H
6 4 2
Direct
0.4727 0.2500 0.0000 Pm
0.5273 0.7500 0.0000 Pm
0.1666 0.0840 0.3347 Pm
0.8318 0.4160 0.6653 Pm
0.1682 0.5840 0.3347 Pm
0.8334 0.9160 0.6653 Pm
0.6696 0.5844 0.3378 As
0.6682 0.0844 0.3378 As
0.3318 0.9156 0.6622 As
0.3304 0.4156 0.6622 As
0.9546 0.7500 0.0000 H
0.0454 0.2500 0.0000 H
```

Summary:
D(E_F): 0.463 states/eV/atom
Space group: No. 15

***

Record-wise VASP energy values, in eV/atom: -2.856; -2.966; -5.219; -4.887; -8.206; -1.334; -2.442; -5.543